Arrangement P

VASP calculation (SCAN) on a crystal of MnCoRu2 relaxed with PBEsol. Values from VASP.

Quantum ESPRESSO input file:
```
&SYSTEM
  ibrav = 0, nat = 8, ntyp = 3
/
ATOMIC_SPECIES
Mn 54.94 Mn.upf
Co 58.93 Co.upf
Ru 101.07 Ru.upf
CELL_PARAMETERS angstrom
3.908 0.000 0.000
0.000 2.581 0.000
0.000 0.000 9.336
ATOMIC_POSITIONS crystal
Mn 0.000 0.000 0.000
Mn 0.000 0.500 0.500
Co 0.500 0.000 0.131
Co 0.500 0.500 0.631
Ru 0.000 0.000 0.732
Ru 0.000 0.500 0.232
Ru 0.500 0.000 0.396
Ru 0.500 0.500 0.896
```


Arrangement Q

VASP calculation (SCAN) on a crystal of MnCoRu2 relaxed with PBEsol. Values from VASP.

Quantum ESPRESSO input file:
```
&SYSTEM
  ibrav = 0, nat = 8, ntyp = 3
/
ATOMIC_SPECIES
Mn 54.94 Mn.upf
Co 58.93 Co.upf
Ru 101.07 Ru.upf
CELL_PARAMETERS angstrom
5.155 0.000 0.000
0.000 7.151 0.000
0.000 0.000 2.575
ATOMIC_POSITIONS crystal
Mn 0.000 0.000 0.000
Mn 0.500 0.500 0.000
Co 0.000 0.500 0.000
Co 0.500 0.000 0.000
Ru 0.250 0.250 0.500
Ru 0.250 0.750 0.500
Ru 0.750 0.250 0.500
Ru 0.750 0.750 0.500
```


Of them, arrangement P has the lowest stability.